# 1
Below is a geometry-optimized RbGa4Pb structure, with properties calculated at the GGA-PBE level.

Cell and atoms, written as CIF:
```
data_RbGa4Pb
_chemical_formula_sum 'Rb4 Ga16 Pb4'
_symmetry_space_group_name_H-M 'F -4 3 m'
_symmetry_Int_Tables_number 216
_symmetry_space_group_name_Hall 'F -4 2 3'
_cell_length_a 8.472
_cell_length_b 8.472
_cell_length_c 8.472
_cell_angle_alpha 90.00
_cell_angle_beta 90.00
_cell_angle_gamma 90.00
loop_
_atom_site_label
_atom_site_type_symbol
_atom_site_fract_x
_atom_site_fract_y
_atom_site_fract_z
Rb1 Rb 0.000 0.000 0.000
Ga1 Ga 0.125 0.125 0.375
Pb1 Pb 0.250 0.250 0.750
```

V	608.1	Å³ per cell
ΔE_f	0.057	eV per atom
total energy	-2.741	eV per atom

# 2
Below is a geometry-optimized Sc4AgPt2Au structure, with properties calculated at the GGA-PBE level.

Cell and atoms, written as CIF:
```
data_Sc4AgPt2Au
_chemical_formula_sum 'Sc12 Ag3 Pt6 Au3'
_symmetry_space_group_name_H-M 'R -3 m'
_symmetry_Int_Tables_number 166
_symmetry_space_group_name_Hall '-R 3 2"'
_cell_length_a 4.7318
_cell_length_b 4.7318
_cell_length_c 23.3378
_cell_angle_alpha 90.00
_cell_angle_beta 90.00
_cell_angle_gamma 120.00
loop_
_atom_site_label
_atom_site_type_symbol
_atom_site_fract_x
_atom_site_fract_y
_atom_site_fract_z
Sc1 Sc 0.0000 0.0000 0.1240
Sc2 Sc 0.0000 0.0000 0.3744
Ag1 Ag 0.0000 0.0000 0.5000
Pt1 Pt 0.0000 0.0000 0.2463
Au1 Au 0.0000 0.0000 0.0000
```

V	452.5	Å³ per cell
ΔE_f	-0.898	eV per atom
total energy	-6.340	eV per atom

# 3
Below is a geometry-optimized Ti2BiMoH structure, with properties calculated at the GGA-PBE level.

Cell and atoms, written as CIF:
```
data_Ti2BiMoH
_chemical_formula_sum 'Ti2 Bi1 Mo1 H1'
_symmetry_space_group_name_H-M 'P 4/m m m'
_symmetry_Int_Tables_number 123
_symmetry_space_group_name_Hall '-P 4 2'
_cell_length_a 4.242
_cell_length_b 4.242
_cell_length_c 4.073
_cell_angle_alpha 90.00
_cell_angle_beta 90.00
_cell_angle_gamma 90.00
loop_
_atom_site_label
_atom_site_type_symbol
_atom_site_fract_x
_atom_site_fract_y
_atom_site_fract_z
Ti1 Ti 0.000 0.500 0.000
Bi1 Bi 0.000 0.000 0.500
Mo1 Mo 0.500 0.500 0.500
H1 H 0.500 0.500 0.000
```

V	73.3	Å³ per cell
total energy	-6.862	eV per atom

# 4
Below is a geometry-optimized Hf3ReMo structure, with properties calculated at the GGA-PBE level.

Cell and atoms, written as CIF:
```
data_Hf3ReMo
_chemical_formula_sum 'Hf3 Re1 Mo1'
_symmetry_space_group_name_H-M 'P m -3 m'
_symmetry_Int_Tables_number 221
_symmetry_space_group_name_Hall '-P 4 2 3'
_cell_length_a 4.970
_cell_length_b 4.970
_cell_length_c 4.970
_cell_angle_alpha 90.00
_cell_angle_beta 90.00
_cell_angle_gamma 90.00
loop_
_atom_site_label
_atom_site_type_symbol
_atom_site_fract_x
_atom_site_fract_y
_atom_site_fract_z
Hf1 Hf 0.000 0.000 0.500
Re1 Re 0.000 0.000 0.000
Mo1 Mo 0.500 0.500 0.500
```

E above lowest polymorph	0.000	eV/f.u.
V	122.7	Å³ per cell
ΔE_f	1.054	eV per atom
total energy	-9.574	eV per atom

# 5
Below is a geometry-optimized InP2Cl structure, with properties calculated at the GGA-PBE level.

Cell and atoms, written as CIF:
```
data_InP2Cl
_chemical_formula_sum 'In2 P4 Cl2'
_symmetry_space_group_name_H-M 'I m m 2'
_symmetry_Int_Tables_number 44
_cell_length_a 3.354
_cell_length_b 4.774
_cell_length_c 16.415
_cell_angle_alpha 90.00
_cell_angle_beta 90.00
_cell_angle_gamma 90.00
loop_
_symmetry_equiv_pos_as_xyz
'x,y,z'
'-x,-y,z'
'-x,y,z'
'x,-y,z'
'x+1/2,y+1/2,z+1/2'
'-x+1/2,-y+1/2,z+1/2'
'-x+1/2,y+1/2,z+1/2'
'x+1/2,-y+1/2,z+1/2'
loop_
_atom_site_label
_atom_site_type_symbol
_atom_site_fract_x
_atom_site_fract_y
_atom_site_fract_z
In1 In 0.000 0.000 0.000
P1 P 0.000 0.000 0.665
P2 P 0.000 0.500 0.080
Cl1 Cl 0.000 0.500 0.381
```

E above lowest polymorph	0.309	eV/f.u.
V	262.9	Å³ per cell
total energy	-4.024	eV per atom

# 6
Below is a geometry-optimized Ba2Cd2Bi3 structure, with properties calculated at the GGA-PBE level.

Cell and atoms, written as CIF:
```
data_Ba2Cd2Bi3
_chemical_formula_sum 'Ba4 Cd4 Bi6'
_symmetry_space_group_name_H-M 'C 1 2/m 1'
_symmetry_Int_Tables_number 12
_cell_length_a 12.696
_cell_length_b 4.956
_cell_length_c 8.342
_cell_angle_alpha 90.00
_cell_angle_beta 109.31
_cell_angle_gamma 90.00
loop_
_symmetry_equiv_pos_as_xyz
'x,y,z'
'-x,-y,-z'
'-x,y,-z'
'x,-y,z'
'x+1/2,y+1/2,z'
'-x+1/2,-y+1/2,-z'
'-x+1/2,y+1/2,-z'
'x+1/2,-y+1/2,z'
loop_
_atom_site_label
_atom_site_type_symbol
_atom_site_fract_x
_atom_site_fract_y
_atom_site_fract_z
Ba1 Ba 0.128 0.000 0.280
Cd1 Cd 0.166 0.000 0.734
Bi1 Bi 0.000 0.500 0.500
Bi2 Bi 0.106 0.500 0.939
```

E above lowest polymorph	0.698	eV/f.u.
V	495.3	Å³ per cell
ΔE_f	-0.480	eV per atom
total energy	-2.954	eV per atom

# 7
Below is a geometry-optimized Al3CdAg7 structure, with properties calculated at the GGA-PBE level.

Cell and atoms, written as CIF:
```
data_Al3CdAg7
_chemical_formula_sum 'Al6 Cd2 Ag14'
_symmetry_space_group_name_H-M 'C 1 2/m 1'
_symmetry_Int_Tables_number 12
_cell_length_a 9.086
_cell_length_b 9.548
_cell_length_c 5.341
_cell_angle_alpha 90.00
_cell_angle_beta 115.09
_cell_angle_gamma 90.00
loop_
_symmetry_equiv_pos_as_xyz
'x,y,z'
'-x,-y,-z'
'-x,y,-z'
'x,-y,z'
'x+1/2,y+1/2,z'
'-x+1/2,-y+1/2,-z'
'-x+1/2,y+1/2,-z'
'x+1/2,-y+1/2,z'
loop_
_atom_site_label
_atom_site_type_symbol
_atom_site_fract_x
_atom_site_fract_y
_atom_site_fract_z
Al1 Al 0.000 0.000 0.000
Al2 Al 0.000 0.223 0.500
Cd1 Cd 0.000 0.500 0.000
Ag1 Ag 0.000 0.500 0.500
Ag2 Ag 0.179 0.230 0.187
Ag3 Ag 0.187 0.000 0.555
```

V	419.6	Å³ per cell
ΔE_f	0.092	eV per atom
total energy	-2.827	eV per atom

# 8
Below is a geometry-optimized HfMgBr3 structure, with properties calculated at the GGA-PBE level.

Cell and atoms, written as CIF:
```
data_HfMgBr3
_chemical_formula_sum 'Hf1 Mg1 Br3'
_symmetry_space_group_name_H-M 'P m -3 m'
_symmetry_Int_Tables_number 221
_symmetry_space_group_name_Hall '-P 4 2 3'
_cell_length_a 5.326
_cell_length_b 5.326
_cell_length_c 5.326
_cell_angle_alpha 90.00
_cell_angle_beta 90.00
_cell_angle_gamma 90.00
loop_
_atom_site_label
_atom_site_type_symbol
_atom_site_fract_x
_atom_site_fract_y
_atom_site_fract_z
Hf1 Hf 0.000 0.000 0.000
Mg1 Mg 0.500 0.500 0.500
Br1 Br 0.000 0.000 0.500
```

E above lowest polymorph	0.000	eV/f.u.
V	151.1	Å³ per cell
total energy	-3.832	eV per atom

# 9
Below is a geometry-optimized AcHo4ErS8 structure, with properties calculated at the GGA-PBE level.

Cell and atoms, written as CIF:
```
data_AcHo4ErS8
_chemical_formula_sum 'Ac3 Ho12 Er3 S24'
_symmetry_space_group_name_H-M 'R 3 m'
_symmetry_Int_Tables_number 160
_symmetry_space_group_name_Hall 'R 3 -2"'
_cell_length_a 8.1321
_cell_length_b 8.1321
_cell_length_c 19.8908
_cell_angle_alpha 90.00
_cell_angle_beta 90.00
_cell_angle_gamma 120.00
loop_
_atom_site_label
_atom_site_type_symbol
_atom_site_fract_x
_atom_site_fract_y
_atom_site_fract_z
Ac1 Ac 0.0000 0.0000 0.0000
Ho1 Ho 0.0000 0.0000 0.7504
Ho2 Ho 0.1697 0.3393 0.2077
Er1 Er 0.0000 0.0000 0.3772
S1 S 0.0000 0.0000 0.1408
S2 S 0.0000 0.0000 0.6190
S3 S 0.0179 0.5090 0.1267
S4 S 0.1879 0.3758 0.9535
```

V	1139.2	Å³ per cell
total energy	-6.207	eV per atom

# 10
Below is a geometry-optimized NbFe2Sn2 structure, with properties calculated at the GGA-PBE level.

Cell and atoms, written as CIF:
```
data_NbFe2Sn2
_chemical_formula_sum 'Nb2 Fe4 Sn4'
_symmetry_space_group_name_H-M 'P 4/m b m'
_symmetry_Int_Tables_number 127
_symmetry_space_group_name_Hall '-P 4 2ab'
_cell_length_a 7.292
_cell_length_b 7.292
_cell_length_c 3.171
_cell_angle_alpha 90.00
_cell_angle_beta 90.00
_cell_angle_gamma 90.00
loop_
_atom_site_label
_atom_site_type_symbol
_atom_site_fract_x
_atom_site_fract_y
_atom_site_fract_z
Nb1 Nb 0.000 0.000 0.000
Fe1 Fe 0.116 0.384 0.000
Sn1 Sn 0.178 0.678 0.500
```

V	168.6	Å³ per cell
ΔE_f	0.218	eV per atom
total energy	-6.782	eV per atom

- Which of these has the highest V?
  AcHo4ErS8

Please write out number 1 again, unchanged.
Below is a geometry-optimized RbGa4Pb structure, with properties calculated at the GGA-PBE level.

Cell and atoms, written as CIF:
```
data_RbGa4Pb
_chemical_formula_sum 'Rb4 Ga16 Pb4'
_symmetry_space_group_name_H-M 'F -4 3 m'
_symmetry_Int_Tables_number 216
_symmetry_space_group_name_Hall 'F -4 2 3'
_cell_length_a 8.472
_cell_length_b 8.472
_cell_length_c 8.472
_cell_angle_alpha 90.00
_cell_angle_beta 90.00
_cell_angle_gamma 90.00
loop_
_atom_site_label
_atom_site_type_symbol
_atom_site_fract_x
_atom_site_fract_y
_atom_site_fract_z
Rb1 Rb 0.000 0.000 0.000
Ga1 Ga 0.125 0.125 0.375
Pb1 Pb 0.250 0.250 0.750
```

V	608.1	Å³ per cell
ΔE_f	0.057	eV per atom
total energy	-2.741	eV per atom

- total energy of number 5 (InP2Cl)?
  -4.024 eV per atom